[1]
Computed, not measured: a relaxed TeS2Cl crystal at the PBE-GGA level of DFT.

The structure in CIF format:
```
data_TeS2Cl
_chemical_formula_sum 'Te2 S4 Cl2'
_space_group_name_H-M_alt 'P 1 21/m 1'
_space_group_IT_number 11
_cell_length_a 3.875
_cell_length_b 9.769
_cell_length_c 5.675
_cell_angle_alpha 90.00
_cell_angle_beta 102.49
_cell_angle_gamma 90.00
loop_
_space_group_symop_operation_xyz
'x,y,z'
'-x,-y,-z'
'-x,y+1/2,-z'
'x,-y+1/2,z'
loop_
_atom_site_label
_atom_site_fract_x
_atom_site_fract_y
_atom_site_fract_z
Te1 0.001 0.250 0.358
S1 0.459 0.048 0.335
Cl1 0.075 0.250 0.865
```

* E: -3.34 eV per atom
* E_form (uncorrected): -0.02 eV/atom
* energy above the most stable polymorph in this dataset: 0.0 meV/atom

[2]
Computed, not measured: a relaxed PaNb2 crystal at the PBE-GGA level of DFT.

The structure in CIF format:
```
data_PaNb2
_chemical_formula_sum 'Pa2 Nb4'
_space_group_name_H-M_alt 'I 4/m m m'
_space_group_IT_number 139
_space_group_name_Hall '-I 4 2'
_cell_length_a 3.474
_cell_length_b 3.474
_cell_length_c 10.048
_cell_angle_alpha 90.00
_cell_angle_beta 90.00
_cell_angle_gamma 90.00
loop_
_atom_site_label
_atom_site_fract_x
_atom_site_fract_y
_atom_site_fract_z
Pa1 0.000 0.000 0.000
Nb1 0.000 0.000 0.335
```

* E: -9.79 eV per atom
* energy of formation from the pure elements: 0.09 eV per atom
* energy above the most stable polymorph in this dataset: 55.6 meV/atom

[3]
Computed, not measured: a relaxed Sm2Ga4Ir3Rh crystal at the PBE-GGA level of DFT.

The structure in CIF format:
```
data_Sm2Ga4Ir3Rh
_chemical_formula_sum 'Sm2 Ga4 Ir3 Rh1'
_space_group_name_H-M_alt 'P -4 m 2'
_space_group_IT_number 115
_cell_length_a 4.273
_cell_length_b 4.273
_cell_length_c 10.221
_cell_angle_alpha 90.00
_cell_angle_beta 90.00
_cell_angle_gamma 90.00
loop_
_space_group_symop_operation_xyz
'x,y,z'
'y,-x,-z'
'-x,-y,z'
'-y,x,-z'
'-x,y,z'
'-y,-x,-z'
'x,-y,z'
'y,x,-z'
loop_
_atom_site_label
_atom_site_fract_x
_atom_site_fract_y
_atom_site_fract_z
Sm1 0.000 0.500 0.240
Ga1 0.000 0.000 0.500
Ga2 0.000 0.500 0.875
Ga3 0.500 0.500 0.500
Ir1 0.000 0.000 0.000
Ir2 0.000 0.500 0.633
Rh1 0.500 0.500 0.000
```

* E: -6.29 eV per atom
* energy of formation from the pure elements: -0.74 eV per atom

[4]
Computed, not measured: a relaxed MgHg2Rh crystal at the PBE-GGA level of DFT.

The structure in CIF format:
```
data_MgHg2Rh
_chemical_formula_sum 'Mg3 Hg6 Rh3'
_space_group_name_H-M_alt 'R -3 m'
_space_group_IT_number 166
_space_group_name_Hall '-R 3 2"'
_cell_length_a 3.1785
_cell_length_b 3.1785
_cell_length_c 26.8477
_cell_angle_alpha 90.00
_cell_angle_beta 90.00
_cell_angle_gamma 120.00
loop_
_atom_site_label
_atom_site_fract_x
_atom_site_fract_y
_atom_site_fract_z
Mg1 0.0000 0.0000 0.0000
Hg1 0.0000 0.0000 0.2471
Rh1 0.0000 0.0000 0.5000
```

* E: -2.32 eV per atom
* energy of formation from the pure elements: 0.06 eV per atom

[5]
Computed, not measured: a relaxed CsAsIO2 crystal at the PBE-GGA level of DFT.

The structure in CIF format:
```
data_CsAsIO2
_chemical_formula_sum 'Cs1 As1 I1 O2'
_space_group_name_H-M_alt 'P 4/m m m'
_space_group_IT_number 123
_space_group_name_Hall '-P 4 2'
_cell_length_a 4.352
_cell_length_b 4.352
_cell_length_c 7.996
_cell_angle_alpha 90.00
_cell_angle_beta 90.00
_cell_angle_gamma 90.00
loop_
_atom_site_label
_atom_site_fract_x
_atom_site_fract_y
_atom_site_fract_z
Cs1 0.000 0.000 0.000
As1 0.500 0.500 0.500
I1 0.000 0.000 0.500
O1 0.000 0.500 0.000
```

* E: -2.75 eV per atom
* E_form (uncorrected): 0.65 eV/atom
* energy above the most stable polymorph in this dataset: 1748.9 meV/atom

[6]
Computed, not measured: a relaxed Sr2LaP crystal at the PBE-GGA level of DFT.

The structure in CIF format:
```
data_Sr2LaP
_chemical_formula_sum 'Sr4 La2 P2'
_space_group_name_H-M_alt 'C 1 2/m 1'
_space_group_IT_number 12
_cell_length_a 6.605
_cell_length_b 11.479
_cell_length_c 3.877
_cell_angle_alpha 90.00
_cell_angle_beta 116.08
_cell_angle_gamma 90.00
loop_
_space_group_symop_operation_xyz
'x,y,z'
'-x,-y,-z'
'-x,y,-z'
'x,-y,z'
'x+1/2,y+1/2,z'
'-x+1/2,-y+1/2,-z'
'-x+1/2,y+1/2,-z'
'x+1/2,-y+1/2,z'
loop_
_atom_site_label
_atom_site_fract_x
_atom_site_fract_y
_atom_site_fract_z
Sr1 0.250 0.250 0.000
La1 0.000 0.000 0.500
P1 0.000 0.500 0.500
```

* E: -3.43 eV per atom
* energy of formation from the pure elements: 0.00 eV per atom
* energy above the most stable polymorph in this dataset: 563.3 meV/atom

[7]
Computed, not measured: a relaxed CeEr3O crystal at the PBE-GGA level of DFT.

The structure in CIF format:
```
data_CeEr3O
_chemical_formula_sum 'Ce1 Er3 O1'
_space_group_name_H-M_alt 'P m -3 m'
_space_group_IT_number 221
_space_group_name_Hall '-P 4 2 3'
_cell_length_a 4.887
_cell_length_b 4.887
_cell_length_c 4.887
_cell_angle_alpha 90.00
_cell_angle_beta 90.00
_cell_angle_gamma 90.00
loop_
_atom_site_label
_atom_site_fract_x
_atom_site_fract_y
_atom_site_fract_z
Ce1 0.000 0.000 0.000
Er1 0.000 0.500 0.500
O1 0.500 0.500 0.500
```

* E: -5.92 eV per atom
* E_form (uncorrected): -1.00 eV/atom

[8]
Computed, not measured: a relaxed SrSn2P2 crystal at the PBE-GGA level of DFT.

The structure in CIF format:
```
data_SrSn2P2
_chemical_formula_sum 'Sr2 Sn4 P4'
_space_group_name_H-M_alt 'I 4/m m m'
_space_group_IT_number 139
_space_group_name_Hall '-I 4 2'
_cell_length_a 4.331
_cell_length_b 4.331
_cell_length_c 13.718
_cell_angle_alpha 90.00
_cell_angle_beta 90.00
_cell_angle_gamma 90.00
loop_
_atom_site_label
_atom_site_fract_x
_atom_site_fract_y
_atom_site_fract_z
Sr1 0.000 0.000 0.000
Sn1 0.000 0.500 0.250
P1 0.000 0.000 0.421
```

* E: -4.43 eV per atom
* energy of formation from the pure elements: -0.33 eV per atom

Among the records above, which one has the highest E? MgHg2Rh